First-principles (PBE+U) data for a relaxed PaW4O12 crystal, as listed in Alexandria.

Geometry as CIF:
```
data_PaW4O12
_chemical_formula_sum 'Pa1 W4 O12'
_cell_length_a 6.7879
_cell_length_b 6.7879
_cell_length_c 6.7879
_cell_angle_alpha 107.92
_cell_angle_beta 107.92
_cell_angle_gamma 112.62
_symmetry_space_group_name_H-M 'P 1'
_symmetry_Int_Tables_number 1
_symmetry_space_group_name_Hall 'P 1'
loop_
_atom_site_label
_atom_site_type_symbol
_atom_site_fract_x
_atom_site_fract_y
_atom_site_fract_z
Pa1 Pa 0.0000 0.0000 0.0000
W1 W 0.0000 0.0000 0.5000
W2 W 0.0000 0.5000 0.0000
W3 W 0.5000 0.0000 0.0000
W4 W 0.5000 0.5000 0.5000
O1 O 0.0434 0.8130 0.2305
O2 O 0.1870 0.4175 0.2305
O3 O 0.1870 0.9566 0.7695
O4 O 0.2928 0.2928 0.5856
O5 O 0.2928 0.7072 0.0000
O6 O 0.4175 0.1870 0.2305
O7 O 0.5825 0.8130 0.7695
O8 O 0.7072 0.2928 0.0000
O9 O 0.7072 0.7072 0.4144
O10 O 0.8130 0.0434 0.2305
O11 O 0.8130 0.5825 0.7695
O12 O 0.9566 0.1870 0.7695
```

Space-group type   I4/mmm



First-principles (PBE+U) data for a relaxed Pa2WO crystal, as listed in Alexandria.

Geometry as CIF:
```
data_Pa2WO
_chemical_formula_sum 'Pa6 W3 O3'
_cell_length_a 3.0692
_cell_length_b 3.0692
_cell_length_c 27.9858
_cell_angle_alpha 90.00
_cell_angle_beta 90.00
_cell_angle_gamma 120.00
_symmetry_space_group_name_H-M 'P 1'
_symmetry_Int_Tables_number 1
_symmetry_space_group_name_Hall 'P 1'
loop_
_atom_site_label
_atom_site_type_symbol
_atom_site_fract_x
_atom_site_fract_y
_atom_site_fract_z
Pa1 Pa 0.0000 0.0000 0.1051
Pa2 Pa 0.0000 0.0000 0.8949
Pa3 Pa 0.3333 0.6667 0.5616
Pa4 Pa 0.3333 0.6667 0.7717
Pa5 Pa 0.6667 0.3333 0.2283
Pa6 Pa 0.6667 0.3333 0.4384
W1 W 0.0000 0.0000 0.0000
W2 W 0.3333 0.6667 0.6667
W3 W 0.6667 0.3333 0.3333
O1 O 0.0000 0.0000 0.5000
O2 O 0.3333 0.6667 0.1667
O3 O 0.6667 0.3333 0.8333
```

Space-group type   R-3m



Calculated total energy across the listed records, respectively: -8.009; -8.212 eV/atom.